Entry 1:
# K2YHf2

K2YHf2 after structural relaxation (GGA-PBE, Alexandria via LeMat-Bulk).

Structure (CIF):
```
data_K2YHf2
_chemical_formula_sum 'K4 Y2 Hf4'
_cell_length_a 4.420
_cell_length_b 4.420
_cell_length_c 17.419
_cell_angle_alpha 90.00
_cell_angle_beta 90.00
_cell_angle_gamma 90.00
_space_group_name_H-M_alt 'I 4/m m m'
_space_group_IT_number 139
_space_group_name_Hall '-I 4 2'
loop_
_atom_site_label
_atom_site_fract_x
_atom_site_fract_y
_atom_site_fract_z
K1 0.000 0.500 0.250
Y1 0.000 0.000 0.000
Hf1 0.000 0.000 0.425
```

Output
Calculated formation energy ... 1016 meV/atom
M_tot ... 0.0 Bohr magnetons per cell
Crystal system ... tetragonal


Entry 2:
# SbO4

SbO4 after structural relaxation (GGA-PBE, Alexandria via LeMat-Bulk).

Structure (CIF):
```
data_SbO4
_chemical_formula_sum 'Sb1 O4'
_cell_length_a 3.934
_cell_length_b 3.934
_cell_length_c 3.934
_cell_angle_alpha 90.00
_cell_angle_beta 90.00
_cell_angle_gamma 90.00
_space_group_name_H-M_alt 'P m -3 m'
_space_group_IT_number 221
_space_group_name_Hall '-P 4 2 3'
loop_
_atom_site_label
_atom_site_fract_x
_atom_site_fract_y
_atom_site_fract_z
Sb1 0.000 0.000 0.000
O1 0.000 0.000 0.500
O2 0.500 0.500 0.500
```

Output
M_tot ... 3.0 Bohr magnetons per cell
Crystal system ... cubic
E_tot ... -24.23 eV/f.u.


Entry 3:
# Cs2Na4S

Cs2Na4S after structural relaxation (GGA-PBE, Alexandria via LeMat-Bulk).

Structure (CIF):
```
data_Cs2Na4S
_chemical_formula_sum 'Cs4 Na8 S2'
_cell_length_a 5.458
_cell_length_b 5.458
_cell_length_c 27.014
_cell_angle_alpha 90.00
_cell_angle_beta 90.00
_cell_angle_gamma 90.00
_space_group_name_H-M_alt 'I 4/m m m'
_space_group_IT_number 139
_space_group_name_Hall '-I 4 2'
loop_
_atom_site_label
_atom_site_fract_x
_atom_site_fract_y
_atom_site_fract_z
Cs1 0.000 0.000 0.185
Na1 0.000 0.000 0.399
Na2 0.000 0.500 0.000
S1 0.000 0.000 0.500
```

Output
M_tot ... 0.0 Bohr magnetons per cell
Crystal system ... tetragonal
E_tot ... -13.41 eV/f.u.


Entry 4:
# Ni2OsRh

Ni2OsRh after structural relaxation (GGA-PBE, Alexandria via LeMat-Bulk).

Structure (CIF):
```
data_Ni2OsRh
_chemical_formula_sum 'Ni2 Os1 Rh1'
_cell_length_a 2.649
_cell_length_b 2.649
_cell_length_c 7.215
_cell_angle_alpha 90.00
_cell_angle_beta 90.00
_cell_angle_gamma 90.00
_space_group_name_H-M_alt 'P 4/m m m'
_space_group_IT_number 123
_space_group_name_Hall '-P 4 2'
loop_
_atom_site_label
_atom_site_fract_x
_atom_site_fract_y
_atom_site_fract_z
Ni1 0.000 0.000 0.245
Os1 0.500 0.500 0.000
Rh1 0.500 0.500 0.500
```

Output
Calculated formation energy ... 112 meV/atom
M_tot ... 0.0 Bohr magnetons per cell
Crystal system ... tetragonal


Entry 5:
# DyYMgAg

DyYMgAg after structural relaxation (GGA-PBE, Alexandria via LeMat-Bulk).

Structure (CIF):
```
data_DyYMgAg
_chemical_formula_sum 'Dy4 Y4 Mg4 Ag4'
_cell_length_a 7.425
_cell_length_b 7.425
_cell_length_c 7.425
_cell_angle_alpha 90.00
_cell_angle_beta 90.00
_cell_angle_gamma 90.00
_space_group_name_H-M_alt 'F -4 3 m'
_space_group_IT_number 216
_space_group_name_Hall 'F -4 2 3'
loop_
_atom_site_label
_atom_site_fract_x
_atom_site_fract_y
_atom_site_fract_z
Dy1 0.000 0.000 0.000
Y1 0.000 0.000 0.500
Mg1 0.250 0.250 0.750
Ag1 0.250 0.250 0.250
```

Output
Calculated formation energy ... -155 meV/atom
M_tot ... 0.0 Bohr magnetons per cell
Crystal system ... cubic


Entry 6:
# HfMoOs2Ru

HfMoOs2Ru after structural relaxation (GGA-PBE, Alexandria via LeMat-Bulk).

Structure (CIF):
```
data_HfMoOs2Ru
_chemical_formula_sum 'Hf1 Mo1 Os2 Ru1'
_cell_length_a 4.656
_cell_length_b 4.656
_cell_length_c 4.610
_cell_angle_alpha 90.00
_cell_angle_beta 90.00
_cell_angle_gamma 90.00
_space_group_name_H-M_alt 'P 4/m m m'
_space_group_IT_number 123
_space_group_name_Hall '-P 4 2'
loop_
_atom_site_label
_atom_site_fract_x
_atom_site_fract_y
_atom_site_fract_z
Hf1 0.000 0.000 0.000
Mo1 0.500 0.500 0.000
Os1 0.000 0.500 0.500
Ru1 0.500 0.500 0.500
```

Output
Calculated formation energy ... 1509 meV/atom
M_tot ... 0.0 Bohr magnetons per cell
Crystal system ... tetragonal


Entry 7:
# Sc2AsSe

Sc2AsSe after structural relaxation (GGA-PBE, Alexandria via LeMat-Bulk).

Structure (CIF):
```
data_Sc2AsSe
_chemical_formula_sum 'Sc4 As2 Se2'
_cell_length_a 4.147
_cell_length_b 5.466
_cell_length_c 7.131
_cell_angle_alpha 90.00
_cell_angle_beta 90.00
_cell_angle_gamma 90.00
_space_group_name_H-M_alt 'C m m m'
_space_group_IT_number 65
_space_group_name_Hall '-C 2 2'
loop_
_atom_site_label
_atom_site_fract_x
_atom_site_fract_y
_atom_site_fract_z
Sc1 0.000 0.000 0.244
As1 0.000 0.500 0.000
Se1 0.000 0.500 0.500
```

Output
M_tot ... 0.0 Bohr magnetons per cell
Crystal system ... orthorhombic
E_tot ... -25.36 eV/f.u.


Entry 8:
# Sc3CSeF

Sc3CSeF after structural relaxation (GGA-PBE, Alexandria via LeMat-Bulk).

Structure (CIF):
```
data_Sc3CSeF
_chemical_formula_sum 'Sc6 C2 Se2 F2'
_cell_length_a 7.316
_cell_length_b 3.483
_cell_length_c 7.905
_cell_angle_alpha 90.00
_cell_angle_beta 98.87
_cell_angle_gamma 90.00
_space_group_name_H-M_alt 'P 1 21/m 1'
_space_group_IT_number 11
loop_
_space_group_symop_operation_xyz
'x,y,z'
'-x,-y,-z'
'-x,y+1/2,-z'
'x,-y+1/2,z'
loop_
_atom_site_label
_atom_site_fract_x
_atom_site_fract_y
_atom_site_fract_z
Sc1 0.072 0.250 0.359
Sc2 0.202 0.250 0.939
Sc3 0.353 0.750 0.646
C1 0.147 0.250 0.654
Se1 0.345 0.750 0.297
F1 0.369 0.750 0.923
```

Output
M_tot ... 0.0 Bohr magnetons per cell
Crystal system ... monoclinic
E_tot ... -43.37 eV/f.u.


Entry 9:
# NaPmMgGa

NaPmMgGa after structural relaxation (GGA-PBE, Alexandria via LeMat-Bulk).

Structure (CIF):
```
data_NaPmMgGa
_chemical_formula_sum 'Na4 Pm4 Mg4 Ga4'
_cell_length_a 7.221
_cell_length_b 7.221
_cell_length_c 7.221
_cell_angle_alpha 90.00
_cell_angle_beta 90.00
_cell_angle_gamma 90.00
_space_group_name_H-M_alt 'F -4 3 m'
_space_group_IT_number 216
_space_group_name_Hall 'F -4 2 3'
loop_
_atom_site_label
_atom_site_fract_x
_atom_site_fract_y
_atom_site_fract_z
Na1 0.000 0.000 0.000
Pm1 0.250 0.250 0.750
Mg1 0.250 0.250 0.250
Ga1 0.000 0.000 0.500
```

Output
Calculated formation energy ... -153 meV/atom
M_tot ... 0.0 Bohr magnetons per cell
Crystal system ... cubic


Entry 10:
# TbDy2Y5Er

TbDy2Y5Er after structural relaxation (GGA-PBE, Alexandria via LeMat-Bulk).

Structure (CIF):
```
data_TbDy2Y5Er
_chemical_formula_sum 'Tb4 Dy8 Y20 Er4'
_cell_length_a 8.830
_cell_length_b 8.830
_cell_length_c 14.949
_cell_angle_alpha 90.00
_cell_angle_beta 90.00
_cell_angle_gamma 90.00
_space_group_name_H-M_alt 'I 4/m c m'
_space_group_IT_number 140
_space_group_name_Hall '-I 4 2c'
loop_
_atom_site_label
_atom_site_fract_x
_atom_site_fract_y
_atom_site_fract_z
Tb1 0.000 0.000 0.250
Dy1 0.114 0.386 0.000
Y1 0.000 0.000 0.000
Y2 0.206 0.294 0.365
Er1 0.000 0.500 0.250
```

Output
Calculated formation energy ... 288 meV/atom
M_tot ... 0.0 Bohr magnetons per cell
Crystal system ... tetragonal


Entry 11:
# LaSmCdCu

LaSmCdCu after structural relaxation (GGA-PBE, Alexandria via LeMat-Bulk).

Structure (CIF):
```
data_LaSmCdCu
_chemical_formula_sum 'La4 Sm4 Cd4 Cu4'
_cell_length_a 7.520
_cell_length_b 7.520
_cell_length_c 7.520
_cell_angle_alpha 90.00
_cell_angle_beta 90.00
_cell_angle_gamma 90.00
_space_group_name_H-M_alt 'F -4 3 m'
_space_group_IT_number 216
_space_group_name_Hall 'F -4 2 3'
loop_
_atom_site_label
_atom_site_fract_x
_atom_site_fract_y
_atom_site_fract_z
La1 0.000 0.000 0.000
Sm1 0.000 0.000 0.500
Cd1 0.250 0.250 0.250
Cu1 0.250 0.250 0.750
```

Output
Calculated formation energy ... -185 meV/atom
M_tot ... 0.4 Bohr magnetons per cell
Crystal system ... cubic


Please write out number 7 again, unchanged.
# Sc2AsSe

Sc2AsSe after structural relaxation (GGA-PBE, Alexandria via LeMat-Bulk).

Structure (CIF):
```
data_Sc2AsSe
_chemical_formula_sum 'Sc4 As2 Se2'
_cell_length_a 4.147
_cell_length_b 5.466
_cell_length_c 7.131
_cell_angle_alpha 90.00
_cell_angle_beta 90.00
_cell_angle_gamma 90.00
_space_group_name_H-M_alt 'C m m m'
_space_group_IT_number 65
_space_group_name_Hall '-C 2 2'
loop_
_atom_site_label
_atom_site_fract_x
_atom_site_fract_y
_atom_site_fract_z
Sc1 0.000 0.000 0.244
As1 0.000 0.500 0.000
Se1 0.000 0.500 0.500
```

Output
M_tot ... 0.0 Bohr magnetons per cell
Crystal system ... orthorhombic
E_tot ... -25.36 eV/f.u.